# meta-GGA SCAN BaCaSi, single point on PBEsol structure
# - calculated total energy (eV per atom) = -19.970
# - offset from the most stable computed form (meV per atom) = 257
data_BaCaSi
_chemical_formula_sum 'Ba1 Ca1 Si1'
_space_group_name_H-M_alt 'P 3 m 1'
_space_group_IT_number 156
_space_group_name_Hall 'P 3 -2"'
_cell_length_a 4.9692
_cell_length_b 4.9692
_cell_length_c 4.8501
_cell_angle_alpha 90.00
_cell_angle_beta 90.00
_cell_angle_gamma 120.00
loop_
_atom_site_label
_atom_site_type_symbol
_atom_site_fract_x
_atom_site_fract_y
_atom_site_fract_z
_atom_site_occupancy
Ba1 Ba 0.0000 0.0000 0.0000 1
Ca1 Ca 0.6667 0.3333 0.5024 1
Si1 Si 0.3333 0.6667 0.3928 1